## LiHfTiNb (GGA-PBE)

Data for a relaxed LiHfTiNb crystal.

Calculated values
Final energy in eV per atom: -7.23
V in Å³ per atom: 17.83
Total magnetization in μB per formula unit: 0.00

Geometry as CIF:
```
data_LiHfTiNb
_space_group_name_H-M_alt 'F -4 3 m'
_space_group_IT_number 216
_space_group_name_Hall 'F -4 2 3'
_cell_length_a 6.5829
_cell_length_b 6.5829
_cell_length_c 6.5829
_cell_angle_alpha 90.00
_cell_angle_beta 90.00
_cell_angle_gamma 90.00
loop_
_atom_site_label
_atom_site_fract_x
_atom_site_fract_y
_atom_site_fract_z
_atom_site_occupancy
Li1 0.0000 0.0000 0.0000 1
Hf1 0.2500 0.2500 0.7500 1
Ti1 0.2500 0.2500 0.2500 1
Nb1 0.0000 0.0000 0.5000 1
```